Record 1
Here is a relaxed structure of SbS2N2 from Alexandria via LeMat-Bulk. Energies are from GGA-PBE.

Summary:
The density of states at the Fermi level comes out at 0.44 states/eV/atom. The uncorrected energy is -4.254 eV/atom. Its space group is P4/mmm, No. 123.

a b c (Å): 3.953 3.953 4.320
angles (deg): 90.00 90.00 90.00
Last column: magnetic moment on the atom in μB.
Fractional positions:
1 S 0.000 0.500 0.000  0.03
2 N 0.000 0.000 0.000  -0.01
3 S 0.500 0.000 0.000  0.03
4 N 0.000 0.000 0.500  0.20
5 Sb 0.500 0.500 0.500  -0.01

***

Record 2
Here is a relaxed structure of BaTi3Mo from Alexandria via LeMat-Bulk. Energies are from GGA-PBE.

Summary:
The density of states at the Fermi level comes out at 1.73 states/eV/atom. The uncorrected energy is -6.652 eV/atom. For the formation energy, the calculation gives 635 meV/atom. Its space group is Pm-3m, No. 221.

a b c (Å): 4.975 4.975 4.975
angles (deg): 90.00 90.00 90.00
Fractional positions:
1 Mo 0.000 0.000 0.000
2 Ti 0.500 0.000 0.000
3 Ti 0.000 0.500 0.000
4 Ti 0.000 0.000 0.500
5 Ba 0.500 0.500 0.500

***

Record 3
Here is a relaxed structure of CeSm4Tm7 from Alexandria via LeMat-Bulk. Energies are from GGA-PBE.

Summary:
The density of states at the Fermi level comes out at 1.80 states/eV/atom. The uncorrected energy is -4.522 eV/atom. For the formation energy, the calculation gives 154 meV/atom. Its space group is P-1, No. 2.

a b c (Å): 5.935 6.855 11.552
angles (deg): 72.78 59.67 90.02
Last column: magnetic moment on the atom in μB.
Fractional positions:
1 Tm 0.120 0.187 0.628  0.01
2 Tm 0.500 0.000 0.000  0.31
3 Tm 0.170 0.460 0.081  0.05
4 Ce 0.000 0.000 0.000  0.80
5 Sm 0.472 0.590 0.272  0.01
6 Sm 0.472 0.138 0.272  0.01
7 Sm 0.528 0.410 0.728  0.01
8 Sm 0.528 0.862 0.728  0.01
9 Tm 0.880 0.813 0.372  0.01
10 Tm 0.830 0.540 0.919  0.05
11 Tm 0.812 0.284 0.431  -0.04
12 Tm 0.188 0.716 0.569  -0.04